A relaxed structure of AlRu. Source: Alexandria, functional GGA-PBEsol.

Cell lengths 2.8901, 4.8824, 6.3498 Å; angles 106.70, 90.00, 107.22 degrees
With the nearest neighbours (Å) after each atom.
Positions (direct):
Al: 0.0301 0.0603 0.0223  6 Ru 2.55-2.68, 4 Al 2.79-2.85
Al: 0.3755 0.7511 0.2602  7 Ru 2.60-2.68, 5 Al 2.77-2.89
Al: 0.3278 0.6556 0.6700  7 Ru 2.53-2.63, 1 Al 2.77
Ru: 0.0355 0.0710 0.6066  6 Al 2.54-2.68, 4 Ru 2.69-2.73
Ru: 0.6679 0.3358 0.3515  7 Al 2.55-2.62, 2 Ru 2.73
Ru: 0.7298 0.4597 0.9228  7 Al 2.53-2.68, 2 Ru 2.69

Properties
DFT total energy (eV per atom): -7.56

***

A relaxed structure of MnAl2Au. Source: Alexandria, functional GGA-PBEsol.

Cell lengths 2.8492, 2.8492, 8.7891 Å; angles 80.67, 80.67, 60.00 degrees
With the nearest neighbours (Å) after each atom.
Positions (direct):
Au: 0.5009 0.5009 0.4972  3 Al 2.71, 3 Mn 2.75, 6 Au 2.85
Al: 0.7509 0.7509 0.7472  3 Au 2.71, 9 Al 2.83-2.85
Al: 0.9953 0.9953 0.0141  3 Mn 2.56, 9 Al 2.83-2.85
Mn: 0.2528 0.2528 0.2416  3 Al 2.56, 3 Au 2.75, 6 Mn 2.85

Properties
DFT total energy (eV per atom): -5.47

***

A relaxed structure of P2IrRu. Source: Alexandria, functional GGA-PBEsol.

Cell lengths 2.8926, 4.0838, 5.2181 Å; angles 113.04, 106.09, 90.00 degrees
With the nearest neighbours (Å) after each atom.
Positions (direct):
P: 0.7655 0.2655 0.5311  2 Ru 2.41, 4 Ir 2.50
P: 0.9891 0.9891 0.9782  2 Ir 2.48, 4 Ru 2.50
Ru: 0.4763 0.4763 0.9527  6 P 2.41-2.50
Ir: 0.2690 0.7690 0.5380  6 P 2.48-2.50

Properties
DFT total energy (eV per atom): -7.95
Polymorph energy (0 for the lowest one) (eV per atom): 0.021

***

no.,total magnetization (μB per atom)
1,0.000
2,0.701
3,0.000